Below is NbCrI2F after structural relaxation, with properties calculated at the GGA+U level.

Computed properties:
- excess energy over the best structure of this formula in the dataset (meV/atom) = 257
- SG = P4/mmm (123)

Lattice parameters (Å, degrees): 5.858 3.834 5.858 90.00 90.00 90.00
Each line ends with the local moment (μB).
Positions (direct):
I  0.000  0.000  0.500  -0.03
I  0.500  0.000  0.000  -0.04
Cr  0.000  0.500  0.000  4.01
Nb  0.500  0.500  0.500  2.80
F  0.000  0.000  0.000  0.01